Arrangement P

A relaxed structure of TbMgP2. Source: Alexandria, functional PBE.

```
TbMgP2
1.0
2.0037 1.1568 6.1279
-2.0037 1.1568 6.1279
0.0000 -2.3137 6.1279
Tb Mg P
1 1 2
Direct
0.0000 0.0000 0.0000 Tb
0.5000 0.5000 0.5000 Mg
0.2462 0.2462 0.2462 P
0.7538 0.7538 0.7538 P
```

Results
- Magnetization: 0.000 μB/f.u.

---

Arrangement Q

A relaxed structure of TbMgP2. Source: Alexandria, functional PBE.

```
TbMgP2
1.0
2.0134 1.1624 6.0106
-2.0134 1.1624 6.0106
0.0000 -2.3249 6.0106
Tb Mg P
1 1 2
Direct
0.0000 0.0000 0.0000 Tb
0.1750 0.1750 0.1750 Mg
0.4257 0.4257 0.4257 P
0.5769 0.5769 0.5769 P
```

Results
- Magnetization: 0.000 μB/f.u.

---

Unit: eV/atom. Relative energies: arrangement P 0.014; arrangement Q 0.000.

---

Arrangement P

A relaxed structure of MgTc2P2. Source: Alexandria, functional PBE.

```
MgTc2P2
1.0
6.9327 0.0000 0.0000
0.0000 6.9327 0.0000
0.0000 0.0000 2.9387
Mg Tc P
2 4 4
Direct
0.0000 0.0000 0.0000 Mg
0.5000 0.5000 0.0000 Mg
0.1485 0.3515 0.5000 Tc
0.3515 0.8515 0.5000 Tc
0.6485 0.1485 0.5000 Tc
0.8515 0.6485 0.5000 Tc
0.1439 0.6439 0.0000 P
0.3561 0.1439 0.0000 P
0.6439 0.8561 0.0000 P
0.8561 0.3561 0.0000 P
```

Results
- Magnetization: 0.000 μB/f.u.

---

Arrangement Q

A relaxed structure of MgTc2P2. Source: Alexandria, functional PBE.

```
MgTc2P2
1.0
-1.7534 1.7534 6.2550
1.7534 -1.7534 6.2550
1.7534 1.7534 -6.2550
Mg Tc P
1 2 2
Direct
0.0000 0.0000 0.0000 Mg
0.3754 0.3754 0.0000 Tc
0.6246 0.6246 0.0000 Tc
0.2500 0.7500 0.5000 P
0.7500 0.2500 0.5000 P
```

Results
- Magnetization: 0.000 μB/f.u.

---

Arrangement R

A relaxed structure of MgTc2P2. Source: Alexandria, functional PBE.

```
MgTc2P2
1.0
4.8646 -1.9696 0.0000
4.8646 1.9696 0.0000
-3.5537 0.0000 7.8125
Mg Tc P
2 4 4
Direct
0.1223 0.1223 0.3753 Mg
0.8777 0.8777 0.6247 Mg
0.2257 0.2257 0.7673 Tc
0.4375 0.4375 0.1157 Tc
0.5625 0.5625 0.8843 Tc
0.7743 0.7743 0.2327 Tc
0.1594 0.1594 0.0374 P
0.4041 0.4041 0.3730 P
0.5959 0.5959 0.6270 P
0.8406 0.8406 0.9626 P
```

Results
- Magnetization: 0.000 μB/f.u.

---

Arrangement S

A relaxed structure of MgTc2P2. Source: Alexandria, functional PBE.

```
MgTc2P2
1.0
6.9740 0.0000 0.0000
0.0000 6.9740 0.0000
0.0000 0.0000 2.9596
Mg Tc P
2 4 4
Direct
0.0000 0.0000 0.0000 Mg
0.5000 0.5000 0.0000 Mg
0.1438 0.3562 0.0000 Tc
0.3562 0.8562 0.0000 Tc
0.6438 0.1438 0.0000 Tc
0.8562 0.6438 0.0000 Tc
0.1496 0.6496 0.5000 P
0.3504 0.1496 0.5000 P
0.6496 0.8504 0.5000 P
0.8504 0.3504 0.5000 P
```

Results
- Magnetization: 0.000 μB/f.u.

---

Unit: eV/atom. Relative energies: arrangement P 0.009; arrangement Q 0.089; arrangement R 0.000; arrangement S 0.103.

---

Arrangement P

A relaxed structure of MgZrTcP2. Source: Alexandria, functional PBE.

```
MgZrTcP2
1.0
4.9882 0.0000 0.0000
0.0000 4.9882 0.0000
0.0000 0.0000 4.8957
Mg Zr Tc P
1 1 1 2
Direct
0.0000 0.0000 0.0000 Mg
0.5000 0.5000 0.5000 Zr
0.5000 0.5000 0.0000 Tc
0.0000 0.5000 0.5000 P
0.5000 0.0000 0.5000 P
```

Results
- Magnetization: 1.625 μB/f.u.

---

Arrangement Q

A relaxed structure of MgZrTcP2. Source: Alexandria, functional PBE.

```
MgZrTcP2
1.0
4.5889 0.0000 0.0000
0.0000 4.5889 0.0000
0.0000 0.0000 5.0509
Mg Zr Tc P
1 1 1 2
Direct
0.0000 0.0000 0.0000 Mg
0.0000 0.0000 0.5000 Zr
0.5000 0.5000 0.5000 Tc
0.0000 0.5000 0.0000 P
0.5000 0.0000 0.0000 P
```

Results
- Magnetization: 2.664 μB/f.u.

---

Unit: eV/atom. Relative energies: arrangement P 0.000; arrangement Q 0.541.

---

Arrangement P

A relaxed structure of MgTeP. Source: Alexandria, functional PBE.

```
MgTeP
1.0
-1.8439 1.8439 5.6464
1.8439 -1.8439 5.6464
1.8439 1.8439 -5.6464
Mg Te P
1 1 1
Direct
0.0000 0.0000 0.0000 Mg
0.3050 0.3050 0.0000 Te
0.5260 0.5260 0.0000 P
```

Results
- Magnetization: 0.000 μB/f.u.

---

Arrangement Q

A relaxed structure of MgTeP. Source: Alexandria, functional PBE.

```
MgTeP
1.0
0.0000 3.3241 3.3241
3.3241 0.0000 3.3241
3.3241 3.3241 0.0000
Mg Te P
1 1 1
Direct
0.0000 0.0000 0.0000 Mg
0.2500 0.2500 0.2500 Te
0.7500 0.7500 0.7500 P
```

Results
- Magnetization: 0.000 μB/f.u.

---

Unit: eV/atom. Relative energies: arrangement P 0.000; arrangement Q 0.241.

---

Arrangement P

A relaxed structure of MgTeP. Source: Alexandria, functional PBE.

```
MgTeP
1.0
-1.5475 1.5475 7.6200
1.5475 -1.5475 7.6200
1.5475 1.5475 -7.6200
Mg Te P
1 1 1
Direct
0.0000 0.0000 0.0000 Mg
0.6645 0.6645 0.0000 Te
0.3973 0.3973 0.0000 P
```

Results
- Magnetization: 0.000 μB/f.u.

---

Arrangement Q

A relaxed structure of MgTeP. Source: Alexandria, functional PBE.

```
MgTeP
1.0
1.8279 1.0553 12.9710
-1.8279 1.0553 12.9710
0.0000 -2.1106 12.9710
Mg Te P
2 2 2
Direct
0.0641 0.0641 0.0641 Mg
0.9359 0.9359 0.9359 Mg
0.2198 0.2198 0.2198 Te
0.7802 0.7802 0.7802 Te
0.3470 0.3470 0.3470 P
0.6530 0.6530 0.6530 P
```

Results
- Magnetization: 0.000 μB/f.u.

---

Arrangement R

A relaxed structure of MgTeP. Source: Alexandria, functional PBE.

```
MgTeP
1.0
3.2577 0.0000 0.0000
-1.6288 2.8212 0.0000
0.0000 0.0000 7.9797
Mg Te P
1 1 1
Direct
0.0000 0.0000 0.0000 Mg
0.6667 0.3333 0.6998 Te
0.3333 0.6667 0.2334 P
```

Results
- Magnetization: 0.000 μB/f.u.

---

Arrangement S

A relaxed structure of MgTeP. Source: Alexandria, functional PBE.

```
MgTeP
1.0
4.3269 0.0000 0.0000
-2.1635 3.7472 0.0000
0.0000 0.0000 4.3156
Mg Te P
1 1 1
Direct
0.0000 0.0000 0.0000 Mg
0.3333 0.6667 0.5879 Te
0.6667 0.3333 0.1472 P
```

Results
- Magnetization: 0.000 μB/f.u.

---

Unit: eV/atom. Relative energies: arrangement P 0.244; arrangement Q 0.000; arrangement R 0.269; arrangement S 0.194.

---

Arrangement P

A relaxed structure of MgTeP2. Source: Alexandria, functional PBE.

```
MgTeP2
1.0
-2.9056 2.9056 6.5473
2.9056 -2.9056 6.5473
2.9056 2.9056 -6.5473
Mg Te P
2 2 4
Direct
0.0000 0.0000 0.0000 Mg
0.7500 0.2500 0.5000 Mg
0.2500 0.7500 0.5000 Te
0.5000 0.5000 0.0000 Te
0.1113 0.6250 0.9863 P
0.3750 0.3613 0.4863 P
0.6387 0.1250 0.0137 P
0.8750 0.8887 0.5137 P
```

Results
- Magnetization: 0.000 μB/f.u.

---

Arrangement Q

A relaxed structure of MgTeP2. Source: Alexandria, functional PBE.

```
MgTeP2
1.0
3.4820 0.0000 0.0000
0.0000 4.4246 0.0000
0.0000 0.0000 5.1813
Mg Te P
1 1 2
Direct
0.0000 0.0000 0.0000 Mg
0.5000 0.0000 0.5000 Te
0.0000 0.5000 0.5000 P
0.5000 0.5000 0.0000 P
```

Results
- Magnetization: 0.000 μB/f.u.

---

Arrangement R

A relaxed structure of MgTeP2. Source: Alexandria, functional PBE.

```
MgTeP2
1.0
-1.8995 2.2836 4.6176
1.8995 -2.2836 4.6176
1.8995 2.2836 -4.6176
Mg Te P
1 1 2
Direct
0.0000 0.0000 0.0000 Mg
0.5000 0.5000 0.0000 Te
0.2799 0.7799 0.5000 P
0.7201 0.2201 0.5000 P
```

Results
- Magnetization: 0.000 μB/f.u.

---

Unit: eV/atom. Relative energies: arrangement P 0.000; arrangement Q 0.175; arrangement R 0.150.

---

Arrangement P

A relaxed structure of MgTeP2. Source: Alexandria, functional PBE.

```
MgTeP2
1.0
-1.9305 1.9305 5.5741
1.9305 -1.9305 5.5741
1.9305 1.9305 -5.5741
Mg Te P
1 1 2
Direct
0.0000 0.0000 0.0000 Mg
0.7500 0.2500 0.5000 Te
0.2500 0.7500 0.5000 P
0.5000 0.5000 0.0000 P
```

Results
- Magnetization: 0.000 μB/f.u.

---

Arrangement Q

A relaxed structure of MgTeP2. Source: Alexandria, functional PBE.

```
MgTeP2
1.0
3.4095 0.0000 0.0000
0.0000 3.4095 0.0000
0.0000 0.0000 8.1679
Mg Te P
1 1 2
Direct
0.0000 0.0000 0.0000 Mg
0.5000 0.5000 0.7880 Te
0.0000 0.0000 0.3095 P
0.5000 0.5000 0.2923 P
```

Results
- Magnetization: 0.000 μB/f.u.

---

Arrangement R

A relaxed structure of MgTeP2. Source: Alexandria, functional PBE.

```
MgTeP2
1.0
-1.6033 1.8330 8.9858
1.6033 -1.8330 8.9858
1.6033 1.8330 -8.9858
Mg Te P
1 1 2
Direct
0.0000 0.0000 0.0000 Mg
0.6260 0.1260 0.5000 Te
0.3482 0.8482 0.5000 P
0.4296 0.4296 0.0000 P
```

Results
- Magnetization: 0.000 μB/f.u.

---

Arrangement S

A relaxed structure of MgTeP2. Source: Alexandria, functional PBE.

```
MgTeP2
1.0
6.4412 -1.9109 0.0000
6.4412 1.9109 0.0000
-0.1309 0.0000 3.8729
Mg Te P
1 1 2
Direct
0.0000 0.0000 0.0000 Mg
0.2301 0.2301 0.9802 Te
0.5052 0.5052 0.4969 P
0.6742 0.6742 0.5208 P
```

Results
- Magnetization: 0.000 μB/f.u.

---

Unit: eV/atom. Relative energies: arrangement P 0.464; arrangement Q 0.152; arrangement R 0.027; arrangement S 0.000.

---

Arrangement P

A relaxed structure of MgTeP2. Source: Alexandria, functional PBE.

```
MgTeP2
1.0
4.8640 0.0000 0.0000
0.0000 3.8302 0.0000
-1.7561 0.0000 4.6283
Mg Te P
1 1 2
Direct
0.0000 0.0000 0.0000 Mg
0.7364 0.5000 0.2925 Te
0.2266 0.5000 0.7061 P
0.4392 0.0000 0.5582 P
```

Results
- Magnetization: 0.000 μB/f.u.

---

Arrangement Q

A relaxed structure of MgTeP2. Source: Alexandria, functional PBE.

```
MgTeP2
1.0
4.7754 0.0000 0.0000
0.0000 3.8648 0.0000
-1.1399 0.0000 4.9108
Mg Te P
1 1 2
Direct
0.0000 0.0000 0.0000 Mg
0.5000 0.0000 0.5000 Te
0.3156 0.5000 0.8256 P
0.6844 0.5000 0.1744 P
```

Results
- Magnetization: 0.000 μB/f.u.

---

Unit: eV/atom. Relative energies: arrangement P 0.042; arrangement Q 0.000.

---

Arrangement P

A relaxed structure of MgTeP2. Source: Alexandria, functional PBE.

```
MgTeP2
1.0
3.8758 0.0000 0.0000
0.0000 3.8758 0.0000
0.0000 0.0000 5.7169
Mg Te P
1 1 2
Direct
0.0000 0.0000 0.0000 Mg
0.0000 0.0000 0.5000 Te
0.5000 0.5000 0.1842 P
0.5000 0.5000 0.8158 P
```

Results
- Magnetization: 0.000 μB/f.u.

---

Arrangement Q

A relaxed structure of MgTeP2. Source: Alexandria, functional PBE.

```
MgTeP2
1.0
-2.7607 2.7607 2.7685
2.7607 -2.7607 2.7685
2.7607 2.7607 -2.7685
Mg Te P
1 1 2
Direct
0.0000 0.0000 0.0000 Mg
0.5000 0.5000 0.0000 Te
0.0000 0.5000 0.5000 P
0.5000 0.0000 0.5000 P
```

Results
- Magnetization: 0.000 μB/f.u.

---

Unit: eV/atom. Relative energies: arrangement P 0.098; arrangement Q 0.000.

---

Arrangement P

A relaxed structure of MgTeP2. Source: Alexandria, functional PBE.

```
MgTeP2
1.0
0.0000 3.4071 3.4071
3.4071 0.0000 3.4071
3.4071 3.4071 0.0000
Mg Te P
1 1 2
Direct
0.0000 0.0000 0.0000 Mg
0.2500 0.2500 0.2500 Te
0.5000 0.5000 0.5000 P
0.7500 0.7500 0.7500 P
```

Results
- Magnetization: 0.000 μB/f.u.

---

Arrangement Q

A relaxed structure of MgTeP2. Source: Alexandria, functional PBE.

```
MgTeP2
1.0
0.0000 3.3913 3.3913
3.3913 0.0000 3.3913
3.3913 3.3913 0.0000
Mg Te P
1 1 2
Direct
0.0000 0.0000 0.0000 Mg
0.5000 0.5000 0.5000 Te
0.2500 0.2500 0.2500 P
0.7500 0.7500 0.7500 P
```

Results
- Magnetization: 0.000 μB/f.u.

---

Unit: eV/atom. Relative energies: arrangement P 0.052; arrangement Q 0.000.

---

Arrangement P

A relaxed structure of MgTeP2. Source: Alexandria, functional PBE.

```
MgTeP2
1.0
5.1964 -2.0134 0.0000
5.1964 2.0134 0.0000
-1.2498 0.0000 4.6951
Mg Te P
1 1 2
Direct
0.0000 0.0000 0.0000 Mg
0.5000 0.5000 0.5000 Te
0.2982 0.2982 0.0110 P
0.7018 0.7018 0.9890 P
```

Results
- Magnetization: 0.000 μB/f.u.

---

Arrangement Q

A relaxed structure of MgTeP2. Source: Alexandria, functional PBE.

```
MgTeP2
1.0
3.3834 -3.4123 0.0000
3.3834 3.4123 0.0000
0.0000 0.0000 3.3599
Mg Te P
1 1 2
Direct
0.0000 0.0000 0.0000 Mg
0.5000 0.5000 0.0000 Te
0.0000 0.5000 0.5000 P
0.5000 0.0000 0.5000 P
```

Results
- Magnetization: 0.000 μB/f.u.

---

Unit: eV/atom. Relative energies: arrangement P 0.000; arrangement Q 0.218.